A plane-wave DFT calculation with PBE-GGA was carried out for an optimized crystal structure of CrRePCl2.

Cell lengths 4.316, 4.316, 5.277 Å; angles 90.00, 90.00, 90.00 degrees
Each line ends with the local moment (μB).
Positions (direct):
Re  0.500  0.500  0.500  3.64
Cl  0.000  0.500  0.000  0.05
Cl  0.500  0.000  0.000  0.05
P  0.000  0.000  0.500  -0.11
Cr  0.000  0.000  0.000  0.15

Results
Formation energy (no corrections) in eV/atom: 1.072
Total energy in eV per atom: -5.16
Calculated volume in Å³ per atom: 19.66

***

A plane-wave DFT calculation with PBE-GGA was carried out for an optimized crystal structure of CrPRhCl2.

Cell lengths 4.993, 4.429, 4.993 Å; angles 90.00, 90.00, 90.00 degrees
Each line ends with the local moment (μB).
Positions (direct):
Cr  0.500  0.500  0.500  4.23
Rh  0.000  0.500  0.000  -0.28
P  0.000  0.000  0.000  0.00
Cl  0.000  0.000  0.500  -0.02
Cl  0.500  0.000  0.000  0.00

Results
Formation energy (no corrections) in eV/atom: 0.523
Total energy in eV per atom: -4.69
Calculated volume in Å³ per atom: 22.09

***

A plane-wave DFT calculation with PBE-GGA was carried out for an optimized crystal structure of CrPRhCl2.

Cell lengths 5.013, 5.013, 4.420 Å; angles 90.00, 90.00, 90.00 degrees
Each line ends with the local moment (μB).
Positions (direct):
Cr  0.500  0.500  0.500  -4.27
Rh  0.000  0.000  0.000  -0.08
P  0.000  0.000  0.500  0.07
Cl  0.000  0.500  0.000  0.00
Cl  0.500  0.000  0.000  0.00

Results
Formation energy (no corrections) in eV/atom: 0.324
Total energy in eV per atom: -4.89
Calculated volume in Å³ per atom: 22.22

***

A plane-wave DFT calculation with PBE-GGA was carried out for an optimized crystal structure of CrPRhCl2.

Cell lengths 4.422, 4.422, 4.734 Å; angles 90.00, 90.00, 90.00 degrees
Each line ends with the local moment (μB).
Positions (direct):
Cr  0.000  0.000  0.000  0.05
Rh  0.500  0.500  0.500  0.91
P  0.000  0.000  0.500  0.02
Cl  0.000  0.500  0.000  0.06
Cl  0.500  0.000  0.000  0.06

Results
Formation energy (no corrections) in eV/atom: 0.627
Total energy in eV per atom: -4.59
Calculated volume in Å³ per atom: 18.51